A | Entry from Alexandria via LeMat-Bulk: CuRhI2 after structural relaxation (PBE).

Calculated values
Its density of states at the Fermi level is 6.128 states/eV/cell.

a b c (Å): 7.4146 7.4146 7.4146
angles (deg): 131.89 131.89 70.40
Closest atoms and distances in Å follow each position.
Fractional coordinates of all 8 atoms:
1 Cu 0.0000 0.0000 0.0000  4 I 2.61
2 Cu 0.7500 0.2500 0.5000  4 I 2.61
3 Rh 0.2500 0.7500 0.5000  4 I 2.62
4 Rh 0.5000 0.5000 0.0000  4 I 2.62
5 I 0.1235 0.6250 0.9985  2 Cu 2.61, 2 Rh 2.62
6 I 0.3750 0.3735 0.4985  2 Cu 2.61, 2 Rh 2.62
7 I 0.6265 0.1250 0.0015  2 Cu 2.61, 2 Rh 2.62
8 I 0.8750 0.8765 0.5015  2 Cu 2.61, 2 Rh 2.62

=====

B | Entry from Alexandria via LeMat-Bulk: CuRhI2 after structural relaxation (PBE).

Calculated values
Its density of states at the Fermi level is 3.181 states/eV/cell.

a b c (Å): 5.0034 5.0034 5.0034
angles (deg): 60.00 60.00 60.00
Closest atoms and distances in Å follow each position.
Fractional coordinates of all 4 atoms:
1 Cu 0.0000 0.0000 0.0000  8 I 3.06
2 Rh 0.5000 0.5000 0.5000  8 I 3.06
3 I 0.2500 0.2500 0.2500  4 Rh 3.06, 4 Cu 3.06
4 I 0.7500 0.7500 0.7500  4 Rh 3.06, 4 Cu 3.06

=====

Relative energy of each structure, in eV/atom: A 0.000; B 0.472.